1.
Density functional theory data (PBE) for crystalline Tl2Os2Br at its relaxed geometry.

Output
The calculation puts the energy above the most stable polymorph in this dataset at 386 meV per atom. As for the total magnetization: 0.000 μB/atom. Its crystal system is tetragonal. As for the volume: 233 Å³ per cell. The space group is P4/mbm. The value obtained for the density of states at the Fermi level is 0.4928 states/eV per atom. The formation energy without anion corrections is 967.2 meV per atom.

a = 9.0751 Å, b = 9.0751 Å, c = 2.8310 Å
α = 90.00°, β = 90.00°, γ = 90.00°
Last column: nearest neighbours and their distance in Å.
Sites, in units of the cell vectors:
Tl (0.1970, 0.3030, 0.0000)  2 Tl 2.83, 6 Os 3.10-3.11
Tl (0.3030, 0.8030, 0.0000)  2 Tl 2.83, 6 Os 3.10-3.11
Tl (0.6970, 0.1970, 0.0000)  2 Tl 2.83, 6 Os 3.10-3.11
Tl (0.8030, 0.6970, 0.0000)  2 Tl 2.83, 6 Os 3.10-3.11
Os (0.0880, 0.5880, 0.5000)  1 Os 2.26
Os (0.4120, 0.0880, 0.5000)  1 Os 2.26
Os (0.5880, 0.9120, 0.5000)  1 Os 2.26
Os (0.9120, 0.4120, 0.5000)  1 Os 2.26
Br (0.0000, 0.0000, 0.0000)  2 Br 2.83
Br (0.5000, 0.5000, 0.0000)  2 Br 2.83

2.
Density functional theory data (PBE) for crystalline VOs2Br at its relaxed geometry.

Output
The calculation puts the energy above the most stable polymorph in this dataset at 233 meV per atom. As for the total magnetization: 0.000 μB/atom. Its crystal system is tetragonal. As for the volume: 169 Å³ per cell. The space group is I-42d. The value obtained for the density of states at the Fermi level is 0.5854 states/eV per atom. The formation energy without anion corrections is 1355.9 meV per atom.

a = 6.8617 Å, b = 6.8617 Å, c = 6.8617 Å
α = 133.08°, β = 133.08°, γ = 68.52°
Last column: nearest neighbours and their distance in Å.
Sites, in units of the cell vectors:
V (0.0000, 0.0000, 0.0000)  4 Os 2.33
V (0.7500, 0.2500, 0.5000)  4 Os 2.33
Os (0.1029, 0.6250, 0.9779)  2 V 2.33, 2 Br 2.47
Os (0.3750, 0.3529, 0.4779)  2 V 2.33, 2 Br 2.47
Os (0.6471, 0.1250, 0.0221)  2 V 2.33, 2 Br 2.47
Os (0.8750, 0.8971, 0.5221)  2 V 2.33, 2 Br 2.47
Br (0.2500, 0.7500, 0.5000)  4 Os 2.47
Br (0.5000, 0.5000, 0.0000)  4 Os 2.47

3.
Density functional theory data (PBE) for crystalline V2OsBr at its relaxed geometry.

Output
The calculation puts the energy above the most stable polymorph in this dataset at 74 meV per atom. As for the total magnetization: 0.627 μB/atom. Its crystal system is tetragonal. As for the volume: 153 Å³ per cell. The space group is I-42d. The value obtained for the density of states at the Fermi level is 1.1335 states/eV per atom. The formation energy without anion corrections is 775.9 meV per atom.

a = 5.8467 Å, b = 5.8467 Å, c = 5.8467 Å
α = 112.54°, β = 112.54°, γ = 103.50°
Last column: nearest neighbours and their distance in Å.
Sites, in units of the cell vectors:
V (0.1065, 0.6250, 0.9815)  2 Os 2.39, 2 Br 2.55
V (0.3750, 0.3565, 0.4815)  2 Os 2.39, 2 Br 2.55
V (0.6435, 0.1250, 0.0185)  2 Os 2.39, 2 Br 2.55
V (0.8750, 0.8935, 0.5185)  2 Os 2.39, 2 Br 2.55
Os (0.0000, 0.0000, 0.0000)  4 V 2.39
Os (0.7500, 0.2500, 0.5000)  4 V 2.39
Br (0.2500, 0.7500, 0.5000)  4 V 2.55
Br (0.5000, 0.5000, 0.0000)  4 V 2.55

4.
Density functional theory data (PBE) for crystalline V2OsBr at its relaxed geometry.

Output
The calculation puts the energy above the most stable polymorph in this dataset at 0 meV per atom. As for the total magnetization: 0.110 μB/atom. Its crystal system is cubic. As for the volume: 60 Å³ per cell. The space group is Fm-3m. The value obtained for the density of states at the Fermi level is 1.6288 states/eV per atom. The formation energy without anion corrections is 702.2 meV per atom.

a = 4.3920 Å, b = 4.3920 Å, c = 4.3920 Å
α = 60.00°, β = 60.00°, γ = 60.00°
Last column: nearest neighbours and their distance in Å.
Sites, in units of the cell vectors:
V (0.2500, 0.2500, 0.2500)  4 Br 2.69, 4 Os 2.69
V (0.7500, 0.7500, 0.7500)  4 Br 2.69, 4 Os 2.69
Os (0.0000, 0.0000, 0.0000)  8 V 2.69
Br (0.5000, 0.5000, 0.5000)  8 V 2.69

5.
Density functional theory data (PBE) for crystalline VOs2Br at its relaxed geometry.

Output
The calculation puts the energy above the most stable polymorph in this dataset at 0 meV per atom. As for the total magnetization: 0.152 μB/atom. Its crystal system is cubic. As for the volume: 61 Å³ per cell. The space group is Fm-3m. The value obtained for the density of states at the Fermi level is 1.3977 states/eV per atom. The formation energy without anion corrections is 1122.8 meV per atom.

a = 4.4207 Å, b = 4.4207 Å, c = 4.4207 Å
α = 60.00°, β = 60.00°, γ = 60.00°
Last column: nearest neighbours and their distance in Å.
Sites, in units of the cell vectors:
V (0.0000, 0.0000, 0.0000)  8 Os 2.71
Os (0.2500, 0.2500, 0.2500)  4 Br 2.71, 4 V 2.71
Os (0.7500, 0.7500, 0.7500)  4 Br 2.71, 4 V 2.71
Br (0.5000, 0.5000, 0.5000)  8 Os 2.71

6.
Density functional theory data (PBE) for crystalline VOs3Br at its relaxed geometry.

Output
The calculation puts the energy above the most stable polymorph in this dataset at 200 meV per atom. As for the total magnetization: 0.408 μB/atom. Its crystal system is cubic. As for the volume: 93 Å³ per cell. The space group is Pm-3m. The value obtained for the density of states at the Fermi level is 1.5146 states/eV per atom. The formation energy without anion corrections is 2358.2 meV per atom.

a = 4.5280 Å, b = 4.5280 Å, c = 4.5280 Å
α = 90.00°, β = 90.00°, γ = 90.00°
Last column: nearest neighbours and their distance in Å.
Sites, in units of the cell vectors:
V (0.0000, 0.0000, 0.0000)  12 Os 3.20
Os (0.0000, 0.5000, 0.5000)  2 Br 2.26
Os (0.5000, 0.0000, 0.5000)  2 Br 2.26
Os (0.5000, 0.5000, 0.0000)  2 Br 2.26
Br (0.5000, 0.5000, 0.5000)  6 Os 2.26